! HfNp2Tl2Se6 GGA-PBE relaxed; values from VASP
&SYSTEM
  ibrav = 0, nat = 11, ntyp = 4
/
ATOMIC_SPECIES
Se 78.96 Se.upf
Hf 178.49 Hf.upf
Np 237.00 Np.upf
Tl 204.38 Tl.upf
ATOMIC_POSITIONS angstrom
Se -0.914 -0.496 -5.523
Se -3.769 -4.398 -0.596
Se -1.547 -1.390 -1.481
Se -3.136 -3.505 -4.639
Se 0.675 -3.694 -4.181
Se -5.358 -1.200 -1.938
Hf -3.700 -1.784 0.130
Np -3.187 -0.745 -3.774
Np -1.496 -4.149 -2.345
Tl -0.310 2.696 -4.599
Tl 3.028 -4.023 -1.780
CELL_PARAMETERS angstrom
-1.173 4.432 -5.328
3.890 -5.759 -1.051
-7.401 -3.568 0.259
! * total magnetization: 8.00 μB/cell
! * crystal system: monoclinic
! * symmetry: C2/m, No. 12
! * VASP energy: -6.599 eV per atom

=====

! TaPSe2 GGA-PBE relaxed; values from VASP
&SYSTEM
  ibrav = 0, nat = 4, ntyp = 3
/
ATOMIC_SPECIES
Se 78.96 Se.upf
P 30.97 P.upf
Ta 180.95 Ta.upf
ATOMIC_POSITIONS angstrom
Se 0.000 0.000 11.252
Se 0.000 0.000 2.063
P 0.000 1.834 0.000
Ta 1.762 0.000 0.000
CELL_PARAMETERS angstrom
-1.762 1.834 6.657
1.762 -1.834 6.657
1.762 1.834 -6.657
! * total magnetization: 0.00 μB/cell
! * crystal system: orthorhombic
! * symmetry: Immm, No. 71
! * VASP energy: -6.191 eV per atom